Entry 1:
# Si2RhSe

Si2RhSe after structural relaxation (PBE, the Alexandria database).

POSCAR file:
```
Si2RhSe
1.0
4.119 0.000 0.000
0.000 4.785 0.000
0.000 0.000 7.067
Si Rh Se
4 2 2
direct
0.000 0.000 0.000
0.000 0.500 0.500
0.500 0.000 0.204
0.500 0.500 0.704
0.000 0.000 0.382
0.000 0.500 0.882
0.500 0.000 0.592
0.500 0.500 0.092
```

## Properties
raw total energy	-0.4105	Ry/atom
density	5.68	g/cm³
ΔE_f (raw)	-0.165	eV per atom
volume	139.3	Å³/cell

***

Entry 2:
# Mg2SnHg5

Mg2SnHg5 after structural relaxation (PBE, the Alexandria database).

POSCAR file:
```
Mg2SnHg5
1.0
1.799 -7.243 0.000
1.799 7.243 0.000
0.000 0.000 15.344
Mg Sn Hg
4 2 10
direct
0.211 0.789 0.588
0.211 0.789 0.912
0.789 0.211 0.088
0.789 0.211 0.412
0.303 0.697 0.250
0.697 0.303 0.750
0.022 0.978 0.250
0.131 0.869 0.085
0.131 0.869 0.415
0.452 0.548 0.092
0.452 0.548 0.408
0.548 0.452 0.592
0.548 0.452 0.908
0.869 0.131 0.585
0.869 0.131 0.915
0.978 0.022 0.750
```

## Properties
raw total energy	-0.0829	Ry/atom
energy of formation	-0.04	eV/atom
density	9.72	g/cm³
volume	399.8	Å³/cell

***

Entry 3:
# ZrSiMo2

ZrSiMo2 after structural relaxation (PBE, the Alexandria database).

POSCAR file:
```
ZrSiMo2
1.0
7.514 0.000 0.000
0.000 7.514 0.000
0.000 0.000 5.182
Zr Si Mo
4 4 8
direct
0.000 0.000 0.000
0.000 0.500 0.250
0.500 0.000 0.750
0.500 0.500 0.500
0.000 0.000 0.500
0.000 0.500 0.750
0.500 0.000 0.250
0.500 0.500 0.000
0.182 0.750 0.625
0.250 0.182 0.375
0.250 0.318 0.875
0.318 0.750 0.125
0.682 0.250 0.125
0.750 0.682 0.875
0.750 0.818 0.375
0.818 0.250 0.625
```

## Properties
raw total energy	-0.6323	Ry/atom
density	7.06	g/cm³
ΔE_f (raw)	0.306	eV per atom
volume	292.6	Å³/cell

***

Entry 4:
# Pr12Ag3Te5

Pr12Ag3Te5 after structural relaxation (PBE, the Alexandria database).

POSCAR file:
```
Pr12Ag3Te5
1.0
-9.175 9.175 9.175
9.175 -9.175 9.175
9.175 9.175 -9.175
Pr Ag Te
48 12 20
direct
0.060 0.227 0.129
0.060 0.333 0.931
0.069 0.629 0.402
0.069 0.940 0.667
0.098 0.727 0.667
0.098 0.871 0.431
0.129 0.060 0.227
0.129 0.569 0.902
0.167 0.227 0.598
0.167 0.440 0.569
0.227 0.129 0.060
0.227 0.598 0.167
0.273 0.333 0.902
0.273 0.440 0.371
0.333 0.902 0.273
0.333 0.931 0.060
0.371 0.273 0.440
0.371 0.598 0.931
0.402 0.069 0.629
0.402 0.833 0.773
0.431 0.098 0.871
0.431 0.833 0.560
0.440 0.371 0.273
0.440 0.569 0.167
0.560 0.431 0.833
0.560 0.629 0.727
0.569 0.167 0.440
0.569 0.902 0.129
0.598 0.167 0.227
0.598 0.931 0.371
0.629 0.402 0.069
0.629 0.727 0.560
0.667 0.069 0.940
0.667 0.098 0.727
0.727 0.560 0.629
0.727 0.667 0.098
0.773 0.402 0.833
0.773 0.871 0.940
0.833 0.560 0.431
0.833 0.773 0.402
0.871 0.431 0.098
0.871 0.940 0.773
0.902 0.129 0.569
0.902 0.273 0.333
0.931 0.060 0.333
0.931 0.371 0.598
0.940 0.667 0.069
0.940 0.773 0.871
0.125 0.250 0.375
0.125 0.375 0.750
0.250 0.375 0.125
0.250 0.875 0.625
0.375 0.125 0.250
0.375 0.750 0.125
0.625 0.250 0.875
0.625 0.875 0.750
0.750 0.125 0.375
0.750 0.625 0.875
0.875 0.625 0.250
0.875 0.750 0.625
0.000 0.000 0.000
0.000 0.000 0.500
0.000 0.500 0.000
0.000 0.500 0.500
0.125 0.750 0.875
0.125 0.875 0.250
0.250 0.125 0.875
0.250 0.625 0.375
0.375 0.250 0.625
0.375 0.625 0.750
0.500 0.000 0.000
0.500 0.000 0.500
0.500 0.500 0.000
0.500 0.500 0.500
0.625 0.375 0.250
0.625 0.750 0.375
0.750 0.375 0.625
0.750 0.875 0.125
0.875 0.125 0.750
0.875 0.250 0.125
```

## Properties
raw total energy	-0.3261	Ry/atom
density	5.70	g/cm³
ΔE_f (raw)	-0.357	eV per atom
volume	3089.5	Å³/cell

***

Entry 5:
# Be3HgF

Be3HgF after structural relaxation (PBE, the Alexandria database).

POSCAR file:
```
Be3HgF
1.0
4.486 0.000 0.000
0.000 4.486 0.000
0.000 0.000 4.486
Be Hg F
3 1 1
direct
0.000 0.000 0.500
0.000 0.500 0.000
0.500 0.000 0.000
0.000 0.000 0.000
0.500 0.500 0.500
```

## Properties
raw total energy	-0.1544	Ry/atom
energy above the lowest structure with this stoichiometry	40.8	kJ per mole of atoms
density	4.54	g/cm³
ΔE_f (raw)	0.569	eV per atom
volume	90.3	Å³/cell

***

Entry 6:
# Li6Zn5

Li6Zn5 after structural relaxation (PBE, the Alexandria database).

POSCAR file:
```
Li6Zn5
1.0
4.251 -5.384 0.000
4.251 5.384 0.000
-2.166 0.000 3.796
Li Zn
6 5
direct
0.039 0.345 0.689
0.185 0.185 0.183
0.345 0.039 0.689
0.655 0.961 0.311
0.815 0.815 0.817
0.961 0.655 0.311
0.228 0.772 0.000
0.369 0.631 0.500
0.500 0.500 0.000
0.631 0.369 0.500
0.772 0.228 0.000
```

## Properties
raw total energy	-0.1292	Ry/atom
energy of formation	-0.13	eV/atom
density	3.52	g/cm³
volume	173.8	Å³/cell

***

Entry 7:
# Dy6Er5Sc

Dy6Er5Sc after structural relaxation (PBE, the Alexandria database).

POSCAR file:
```
Dy6Er5Sc
1.0
5.526 -7.456 0.000
5.526 7.456 0.000
-2.214 0.000 4.431
Dy Er Sc
6 5 1
direct
0.082 0.414 0.748
0.247 0.247 0.247
0.414 0.082 0.748
0.586 0.918 0.252
0.753 0.753 0.753
0.918 0.586 0.252
0.165 0.835 0.000
0.334 0.666 0.500
0.500 0.500 0.000
0.666 0.334 0.500
0.835 0.165 0.000
0.000 0.000 0.500
```

## Properties
raw total energy	-0.3456	Ry/atom
energy of formation	0.03	eV/atom
density	8.44	g/cm³
volume	365.1	Å³/cell

***

Entry 8:
# U3N4

U3N4 after structural relaxation (PBE, the Alexandria database).

POSCAR file:
```
U3N4
1.0
4.719 0.000 0.000
0.000 4.719 0.000
0.000 0.000 4.719
U N
3 4
direct
0.000 0.000 0.500
0.000 0.500 0.000
0.500 0.000 0.000
0.000 0.000 0.000
0.000 0.500 0.500
0.500 0.000 0.500
0.500 0.500 0.000
```

## Properties
raw total energy	-0.7762	Ry/atom
density	12.17	g/cm³
ΔE_f (raw)	-0.966	eV per atom
volume	105.1	Å³/cell

***

Entry 9:
# Sc2TlHg2

Sc2TlHg2 after structural relaxation (PBE, the Alexandria database).

POSCAR file:
```
Sc2TlHg2
1.0
4.127 0.000 0.000
0.000 4.127 0.000
0.000 0.000 14.962
Sc Tl Hg
4 2 4
direct
0.000 0.000 0.099
0.000 0.000 0.901
0.500 0.500 0.401
0.500 0.500 0.599
0.000 0.000 0.500
0.500 0.500 0.000
0.000 0.500 0.250
0.000 0.500 0.750
0.500 0.000 0.250
0.500 0.000 0.750
```

## Properties
raw total energy	-0.2290	Ry/atom
energy above the lowest structure with this stoichiometry	26.8	kJ per mole of atoms
energy of formation	0.01	eV/atom
density	9.06	g/cm³
volume	254.9	Å³/cell

***

Entry 10:
# ReGe2Ir

ReGe2Ir after structural relaxation (PBE, the Alexandria database).

POSCAR file:
```
ReGe2Ir
1.0
6.159 0.000 0.000
0.000 6.159 0.000
0.000 0.000 6.159
Re Ge Ir
4 8 4
direct
0.000 0.000 0.000
0.000 0.500 0.500
0.500 0.000 0.500
0.500 0.500 0.000
0.250 0.250 0.250
0.250 0.250 0.750
0.250 0.750 0.250
0.250 0.750 0.750
0.750 0.250 0.250
0.750 0.250 0.750
0.750 0.750 0.250
0.750 0.750 0.750
0.000 0.000 0.500
0.000 0.500 0.000
0.500 0.000 0.000
0.500 0.500 0.500
```

## Properties
raw total energy	-0.5567	Ry/atom
energy above the lowest structure with this stoichiometry	0.0	kJ per mole of atoms
energy of formation	0.06	eV/atom
density	14.89	g/cm³
volume	233.7	Å³/cell